# 1
An optimized crystal structure of As2IrPd. Source: Alexandria via LeMat-Bulk, functional PBE-GGA.

Cell: 4.483 4.483 4.483 Å, 60.00 60.00 60.00°
Atoms (fractional coordinates):
As 0.250 0.250 0.250
As 0.750 0.750 0.750
Ir 0.500 0.500 0.500
Pd 0.000 0.000 0.000

The formation energy comes out at 0.025 eV per atom. As for the relative energy among the computed polymorphs: 80 meV/atom. The value obtained for the spin magnetization is 0.000 μB per atom. The symmetry is Fm-3m, No. 225.


# 2
An optimized crystal structure of La7PmTm3. Source: Alexandria via LeMat-Bulk, functional PBE-GGA.

Cell: 6.771 8.901 6.631 Å, 81.11 84.59 99.72°
Atoms (fractional coordinates):
La 0.223 0.207 0.290
La 0.291 0.856 0.546
La 0.736 0.410 0.019
La 0.264 0.590 0.981
La 0.000 0.500 0.500
La 0.709 0.144 0.454
La 0.777 0.793 0.710
Pm 0.500 0.500 0.500
Tm 0.924 0.836 0.182
Tm 0.500 0.000 0.000
Tm 0.076 0.164 0.818

The formation energy comes out at 0.131 eV per atom. As for the relative energy among the computed polymorphs: 0 meV/atom. The value obtained for the spin magnetization is 0.000 μB per atom. The symmetry is P-1, No. 2.